Entry 1:
First-principles (PBE) data for a relaxed structure of Tb7Bi4C, as listed in the Alexandria database.

Values from the calculation:
The energy of formation is -0.37 eV per atom. Its density of states at the Fermi level is 0.9047 states/eV per atom.

Cell and atoms, written as POSCAR:
```
Tb7Bi4C
1.0
8.054 -2.486 0.000
8.054 2.486 0.000
-7.197 0.000 9.285
Tb Bi C
7 4 1
direct
0.000 0.000 0.000
0.135 0.135 0.535
0.258 0.258 0.122
0.452 0.452 0.771
0.548 0.548 0.229
0.742 0.742 0.878
0.865 0.865 0.465
0.091 0.091 0.776
0.216 0.216 0.343
0.784 0.784 0.657
0.909 0.909 0.224
0.500 0.500 0.000
```

=====

Entry 2:
First-principles (PBE) data for a relaxed structure of Tb5Bi2C2, as listed in the Alexandria database.

Values from the calculation:
The energy of formation is -0.39 eV per atom. Its density of states at the Fermi level is 0.3758 states/eV per atom.

Cell and atoms, written as POSCAR:
```
Tb5Bi2C2
1.0
6.657 -2.578 0.000
6.657 2.578 0.000
-2.117 0.000 6.943
Tb Bi C
5 2 2
direct
0.000 0.000 0.000
0.154 0.154 0.578
0.333 0.333 0.083
0.667 0.667 0.917
0.846 0.846 0.422
0.407 0.407 0.688
0.593 0.593 0.312
0.157 0.157 0.888
0.843 0.843 0.112
```

=====

Entry 3:
First-principles (PBE) data for a relaxed structure of Tb6Bi2C, as listed in the Alexandria database.

Values from the calculation:
The energy of formation is -0.42 eV per atom. As for the excess energy over the best structure of this formula in the dataset: 28.5 meV/atom. Its density of states at the Fermi level is 0.9235 states/eV per atom.

Cell and atoms, written as POSCAR:
```
Tb6Bi2C
1.0
6.998 0.000 0.000
0.000 6.998 0.000
0.000 0.000 9.880
Tb Bi C
12 4 2
direct
0.000 0.000 0.246
0.000 0.000 0.754
0.245 0.246 0.000
0.246 0.755 0.000
0.254 0.255 0.500
0.255 0.746 0.500
0.500 0.500 0.254
0.500 0.500 0.746
0.745 0.254 0.500
0.746 0.745 0.500
0.754 0.245 0.000
0.755 0.754 0.000
0.000 0.500 0.250
0.000 0.500 0.750
0.500 0.000 0.250
0.500 0.000 0.750
0.000 0.000 0.000
0.500 0.500 0.500
```

=====

Entry 4:
First-principles (PBE) data for a relaxed structure of Tb4Bi2C, as listed in the Alexandria database.

Values from the calculation:
The energy of formation is -0.64 eV per atom. As for the excess energy over the best structure of this formula in the dataset: 0.0 meV/atom. Its density of states at the Fermi level is 0.7701 states/eV per atom.

Cell and atoms, written as POSCAR:
```
Tb4Bi2C
1.0
-2.442 2.442 8.043
2.442 -2.442 8.043
2.442 2.442 -8.043
Tb Bi C
4 2 1
direct
0.000 0.500 0.500
0.153 0.153 0.000
0.500 0.000 0.500
0.847 0.847 0.000
0.356 0.356 0.000
0.644 0.644 0.000
0.000 0.000 0.000
```

=====

Entry 5:
First-principles (PBE) data for a relaxed structure of Tb8BiC4, as listed in the Alexandria database.

Values from the calculation:
The energy of formation is -0.16 eV per atom. As for the excess energy over the best structure of this formula in the dataset: 163.7 meV/atom. Its density of states at the Fermi level is 0.4420 states/eV per atom.

Cell and atoms, written as POSCAR:
```
Tb8BiC4
1.0
0.000 5.477 5.477
5.477 0.000 5.477
5.477 5.477 0.000
Tb Bi C
8 1 4
direct
0.079 0.640 0.640
0.101 0.101 0.101
0.101 0.101 0.697
0.101 0.697 0.101
0.640 0.079 0.640
0.640 0.640 0.079
0.640 0.640 0.640
0.697 0.101 0.101
0.250 0.250 0.250
0.387 0.871 0.871
0.871 0.387 0.871
0.871 0.871 0.387
0.871 0.871 0.871
```

=====

Entry 6:
First-principles (PBE) data for a relaxed structure of Tb12Bi5C2, as listed in the Alexandria database.

Values from the calculation:
The energy of formation is -0.42 eV per atom. Its density of states at the Fermi level is 1.1162 states/eV per atom.

Cell and atoms, written as POSCAR:
```
Tb12Bi5C2
1.0
8.574 -3.852 0.000
8.574 3.852 0.000
-2.797 0.000 8.940
Tb Bi C
12 5 2
direct
0.000 0.000 0.166
0.000 0.000 0.834
0.093 0.612 0.922
0.126 0.596 0.443
0.388 0.907 0.078
0.404 0.874 0.557
0.495 0.495 0.814
0.505 0.505 0.186
0.596 0.126 0.443
0.612 0.093 0.922
0.874 0.404 0.557
0.907 0.388 0.078
0.000 0.000 0.500
0.291 0.291 0.650
0.312 0.312 0.155
0.688 0.688 0.845
0.709 0.709 0.350
0.262 0.738 0.000
0.738 0.262 0.000
```